Record 1
PBE-GGA PmGaRh, relaxed; crystal system = cubic; distance to the lowest polymorph of the same formula = 239.6 meV/atom; space group = F-43m; calculated formation energy = -597 meV/atom
1.0
4.593 0.000 0.000
2.297 3.978 0.000
2.297 1.326 3.750
Rh Ga Pm
1 1 1
direct
0.250 0.250 0.250 Rh
0.500 0.500 0.500 Ga
0.000 0.000 0.000 Pm



Record 2
PBE-GGA LaIn2Ag, relaxed; crystal system = orthorhombic; space group = Immm; calculated formation energy = -210 meV/atom
1.0
6.218 0.007 0.004
2.734 5.585 -0.004
-3.820 -3.845 3.047
In Ag La
2 1 1
direct
0.972 0.972 0.000 In
0.528 0.528 0.000 In
0.750 0.250 0.500 Ag
0.250 0.750 0.500 La



Record 3
PBE-GGA LaNbCdPt2, relaxed; crystal system = tetragonal; space group = P4/mmm; calculated formation energy = 624 meV/atom
1.0
5.040 0.000 0.000
0.000 5.040 0.000
0.000 0.000 5.044
Nb Cd Pt La
1 1 2 1
direct
0.000 0.000 0.500 Nb
0.000 0.000 0.000 Cd
0.000 0.500 0.000 Pt
0.500 0.000 0.000 Pt
0.500 0.500 0.500 La



Record 4
PBE-GGA K2MnTl, relaxed; crystal system = monoclinic; distance to the lowest polymorph of the same formula = 0.0 meV/atom; space group = Cm; calculated formation energy = 341 meV/atom
1.0
4.886 0.012 0.027
2.424 4.242 0.027
2.381 1.385 8.355
K Mn Tl
2 1 1
direct
0.967 0.967 0.096 K
0.782 0.782 0.654 K
0.542 0.542 0.375 Mn
0.208 0.208 0.375 Tl



Record 5
PBE-GGA Ca4TlAg, relaxed; crystal system = cubic; distance to the lowest polymorph of the same formula = 561.2 meV/atom; space group = F-43m; calculated formation energy = 303 meV/atom
1.0
0.000 4.749 4.749
4.749 0.000 4.749
4.749 4.749 0.000
Ca Tl Ag
4 1 1
direct
0.875 0.375 0.375 Ca
0.375 0.375 0.875 Ca
0.375 0.875 0.375 Ca
0.375 0.375 0.375 Ca
0.750 0.750 0.750 Tl
0.000 0.000 0.000 Ag



Record 6
PBE-GGA La2ZnGaN, relaxed; formation energy from raw total energies = -0.7394 eV per atom; crystal system = monoclinic; distance to the lowest polymorph of the same formula = 0.0 meV/atom; space group = P2_1/m
1.0
3.989 0.000 0.000
0.000 6.965 0.149
0.000 -2.811 8.069
La Zn Ga N
4 2 2 2
direct
0.750 0.811 0.618 La
0.750 0.796 0.039 La
0.250 0.189 0.382 La
0.250 0.204 0.961 La
0.250 0.539 0.751 Zn
0.750 0.461 0.249 Zn
0.250 0.688 0.302 Ga
0.750 0.312 0.698 Ga
0.250 0.846 0.831 N
0.750 0.154 0.169 N



Record 7
PBE-GGA Tb2Cu5Pt5, relaxed; crystal system = orthorhombic; space group = Pmmm; calculated formation energy = -606 meV/atom
1.0
-2.321 3.667 0.504
-4.290 -2.617 -0.710
-0.524 -1.556 8.910
Tb Cu Pt
2 5 5
direct
0.000 0.500 0.000 Tb
0.000 0.000 0.500 Tb
0.500 0.500 0.500 Cu
0.500 0.750 0.256 Cu
0.500 0.250 0.744 Cu
0.500 0.250 0.256 Cu
0.500 0.750 0.744 Cu
0.000 0.500 0.335 Pt
0.000 0.000 0.824 Pt
0.000 0.000 0.176 Pt
0.000 0.500 0.665 Pt
0.500 0.000 0.000 Pt



Record 8
PBE-GGA Li2FeH4, relaxed; crystal system = tetragonal; distance to the lowest polymorph of the same formula = 0.0 meV/atom; space group = I4/mmm
1.0
3.207 0.000 0.000
0.000 3.207 0.000
1.604 1.604 4.918
H Fe Li
4 1 2
direct
0.163 0.163 0.673 H
0.837 0.837 0.327 H
0.000 0.500 0.000 H
0.500 0.000 0.000 H
0.000 0.000 0.000 Fe
0.356 0.356 0.287 Li
0.644 0.644 0.713 Li



Number 1: ρ 7.7 Mg/m³, DOS at the Fermi energy 0.41 states/eV per atom. Number 2: ρ 7.5 Mg/m³, DOS at the Fermi energy 0.87 states/eV per atom. Number 3: ρ 9.5 Mg/m³, DOS at the Fermi energy 0.71 states/eV per atom. Number 4: ρ 3.2 Mg/m³, DOS at the Fermi energy 0.66 states/eV per atom. Number 5: ρ 3.7 Mg/m³, DOS at the Fermi energy 1.07 states/eV per atom. Number 6: ρ 6.3 Mg/m³, DOS at the Fermi energy 0.70 states/eV per atom. Number 7: ρ 13.3 Mg/m³, DOS at the Fermi energy 0.27 states/eV per atom. Number 8: ρ 2.4 Mg/m³, DOS at the Fermi energy 0.39 states/eV per atom.